{"formula": "TaZnTcP2", "functional": "GGA-PBEsol", "state": "relaxed", "cell": [[4.4088, 0.0000, 0.0000], [0.0000, 4.4088, 0.0000], [0.0000, 0.0000, 5.0464]], "species": ["Ta", "Zn", "Tc", "P", "P"], "fractional_positions": [[0.0000, 0.0000, 0.0000], [0.5000, 0.5000, 0.0000], [0.0000, 0.0000, 0.5000], [0.0000, 0.5000, 0.5000], [0.5000, 0.0000, 0.5000]], "formation_energy_ev_per_fu": 4.0, "total_energy_ev_per_atom": -6.59, "vol_a3_per_fu": 98.1, "magmom_total_mub_per_cell": 0.0}



{"formula": "Rb2SbAuS4", "functional": "GGA-PBEsol", "state": "relaxed", "cell": [[6.7463, 0.0000, 0.0000], [0.0000, 20.0958, 0.0000], [0.0000, 0.0000, 7.1296]], "species": ["Rb", "Rb", "Rb", "Rb", "Rb", "Rb", "Rb", "Rb", "Sb", "Sb", "Sb", "Sb", "Au", "Au", "Au", "Au", "S", "S", "S", "S", "S", "S", "S", "S", "S", "S", "S", "S", "S", "S", "S", "S"], "fractional_positions": [[0.0893, 0.1712, 0.2500], [0.0893, 0.3288, 0.7500], [0.2968, 0.0118, 0.7500], [0.2968, 0.4882, 0.2500], [0.7032, 0.5118, 0.7500], [0.7032, 0.9882, 0.2500], [0.9107, 0.6712, 0.2500], [0.9107, 0.8288, 0.7500], [0.2063, 0.6103, 0.7500], [0.2063, 0.8897, 0.2500], [0.7937, 0.1103, 0.7500], [0.7937, 0.3897, 0.2500], [0.3934, 0.7500, 0.0000], [0.3934, 0.7500, 0.5000], [0.6066, 0.2500, 0.0000], [0.6066, 0.2500, 0.5000], [0.1015, 0.1614, 0.7500], [0.1015, 0.3386, 0.2500], [0.2020, 0.0056, 0.2500], [0.2020, 0.4944, 0.7500], [0.3929, 0.6372, 0.0255], [0.3929, 0.6372, 0.4745], [0.3929, 0.8628, 0.5255], [0.3929, 0.8628, 0.9745], [0.6071, 0.1372, 0.0255], [0.6071, 0.1372, 0.4745], [0.6071, 0.3628, 0.5255], [0.6071, 0.3628, 0.9745], [0.7980, 0.5056, 0.2500], [0.7980, 0.9944, 0.7500], [0.8985, 0.6614, 0.7500], [0.8985, 0.8386, 0.2500]], "total_energy_ev_per_atom": -4.14, "vol_a3_per_fu": 241.6, "magmom_total_mub_per_cell": 0.0, "raw_formation_energy_mev_per_atom": -627}



{"formula": "MnNiP2", "functional": "GGA-PBEsol", "state": "relaxed", "cell": [[3.1259, 0.0000, 0.0000], [0.0000, 3.1259, 0.0000], [0.0000, 0.0000, 4.5760]], "species": ["Mn", "Ni", "P", "P"], "fractional_positions": [[0.0000, 0.0000, 0.0000], [0.5000, 0.5000, 0.3467], [0.0000, 0.0000, 0.4932], [0.5000, 0.5000, 0.8402]], "formation_energy_ev_per_fu": -1.9, "total_energy_ev_per_atom": -7.34, "vol_a3_per_fu": 44.7, "magmom_total_mub_per_cell": 0.9}



{"formula": "TlTc2Te", "functional": "GGA-PBEsol", "state": "relaxed", "cell": [[3.3255, 0.0000, 0.0000], [0.0000, 4.2630, 0.0000], [0.0000, 0.0000, 5.2036]], "species": ["Tl", "Tc", "Tc", "Te"], "fractional_positions": [[0.0000, 0.0000, 0.0000], [0.0000, 0.5000, 0.5000], [0.5000, 0.5000, 0.0000], [0.5000, 0.0000, 0.5000]], "polymorph_energy_ev_per_atom": 0.357, "total_energy_ev_per_atom": -6.27, "vol_a3_per_fu": 73.8, "magmom_total_mub_per_cell": 0.0, "raw_formation_energy_mev_per_atom": 901}



{"formula": "Zn22Cu", "functional": "GGA-PBEsol", "state": "relaxed", "cell": [[0.0000, 6.9191, 6.9191], [6.9191, 0.0000, 6.9191], [6.9191, 6.9191, 0.0000]], "species": ["Zn", "Zn", "Zn", "Zn", "Zn", "Zn", "Zn", "Zn", "Zn", "Zn", "Zn", "Zn", "Zn", "Zn", "Zn", "Zn", "Zn", "Zn", "Zn", "Zn", "Zn", "Zn", "Zn", "Zn", "Zn", "Zn", "Zn", "Zn", "Zn", "Zn", "Zn", "Zn", "Zn", "Zn", "Zn", "Zn", "Zn", "Zn", "Zn", "Zn", "Zn", "Zn", "Zn", "Zn", "Cu", "Cu"], "fractional_positions": [[0.0000, 0.0000, 0.0000], [0.0000, 0.0000, 0.5000], [0.0000, 0.5000, 0.0000], [0.0000, 0.5000, 0.5000], [0.0176, 0.0176, 0.7324], [0.0176, 0.7324, 0.0176], [0.0176, 0.7324, 0.7324], [0.1825, 0.1825, 0.4419], [0.1825, 0.1825, 0.6931], [0.1825, 0.4419, 0.1825], [0.1825, 0.4419, 0.6931], [0.1825, 0.6931, 0.1825], [0.1825, 0.6931, 0.4419], [0.2676, 0.2676, 0.9824], [0.2676, 0.9824, 0.2676], [0.2676, 0.9824, 0.9824], [0.3069, 0.5581, 0.8175], [0.3069, 0.8175, 0.5581], [0.3069, 0.8175, 0.8175], [0.4419, 0.1825, 0.1825], [0.4419, 0.1825, 0.6931], [0.4419, 0.6931, 0.1825], [0.5000, 0.0000, 0.0000], [0.5000, 0.0000, 0.5000], [0.5000, 0.5000, 0.0000], [0.5000, 0.5000, 0.5000], [0.5581, 0.3069, 0.8175], [0.5581, 0.8175, 0.3069], [0.5581, 0.8175, 0.8175], [0.6931, 0.1825, 0.1825], [0.6931, 0.1825, 0.4419], [0.6931, 0.4419, 0.1825], [0.7324, 0.0176, 0.0176], [0.7324, 0.0176, 0.7324], [0.7324, 0.7324, 0.0176], [0.8175, 0.3069, 0.5581], [0.8175, 0.3069, 0.8175], [0.8175, 0.5581, 0.3069], [0.8175, 0.5581, 0.8175], [0.8175, 0.8175, 0.3069], [0.8175, 0.8175, 0.5581], [0.9824, 0.2676, 0.2676], [0.9824, 0.2676, 0.9824], [0.9824, 0.9824, 0.2676], [0.3750, 0.3750, 0.3750], [0.6250, 0.6250, 0.6250]], "formation_energy_ev_per_fu": 1.9, "total_energy_ev_per_atom": -1.62, "vol_a3_per_fu": 331.2, "magmom_total_mub_per_cell": 0.0}



{"formula": "Ca2Ga2SiH2O8", "functional": "GGA-PBEsol", "state": "relaxed", "cell": [[7.6664, 0.0000, 0.0000], [-2.5083, 7.3145, 0.0000], [-2.5787, -3.6462, 6.3134]], "species": ["Ca", "Ca", "Ca", "Ca", "Ga", "Ga", "Ga", "Ga", "Si", "Si", "H", "H", "H", "H", "O", "O", "O", "O", "O", "O", "O", "O", "O", "O", "O", "O", "O", "O", "O", "O"], "fractional_positions": [[0.0000, 0.0000, 0.0000], [0.0284, 0.2706, 0.7180], [0.2787, 0.9630, 0.7198], [0.7206, 0.7183, 0.4403], [0.2440, 0.7294, 0.1973], [0.4968, 0.2279, 0.4733], [0.7434, 0.4743, 0.9647], [0.7653, 0.2508, 0.2408], [0.2720, 0.5014, 0.4736], [0.5183, 0.7473, 0.9654], [0.0548, 0.9761, 0.3788], [0.3952, 0.3184, 0.0594], [0.6763, 0.0539, 0.7189], [0.9589, 0.6216, 0.7290], [0.0111, 0.9762, 0.4845], [0.0385, 0.2899, 0.3060], [0.2460, 0.2123, 0.9541], [0.2520, 0.9818, 0.2576], [0.2928, 0.7031, 0.4393], [0.3079, 0.5748, 0.7197], [0.4530, 0.7041, 0.1339], [0.4569, 0.4498, 0.4555], [0.5292, 0.2309, 0.7196], [0.5733, 0.9830, 0.9986], [0.7149, 0.4440, 0.1810], [0.7212, 0.7138, 0.9829], [0.7433, 0.2646, 0.4702], [0.7818, 0.0081, 0.7190], [0.9898, 0.7511, 0.7212], [0.9929, 0.5155, 0.9659]], "polymorph_energy_ev_per_atom": 0.012, "total_energy_ev_per_atom": -6.65, "vol_a3_per_fu": 177.0, "magmom_total_mub_per_cell": 0.1}



{"formula": "ZnHg2Br", "functional": "GGA-PBEsol", "state": "relaxed", "cell": [[5.0497, 0.0000, 0.0000], [0.0000, 5.0497, 0.0000], [0.0000, 0.0000, 3.6291]], "species": ["Zn", "Hg", "Hg", "Br"], "fractional_positions": [[0.0000, 0.0000, 0.0000], [0.0000, 0.5000, 0.5000], [0.5000, 0.0000, 0.5000], [0.5000, 0.5000, 0.0000]], "polymorph_energy_ev_per_atom": 0.242, "total_energy_ev_per_atom": -1.03, "vol_a3_per_fu": 92.5, "magmom_total_mub_per_cell": 0.0, "raw_formation_energy_mev_per_atom": 117}



{"formula": "Sc2Ir", "functional": "GGA-PBEsol", "state": "relaxed", "cell": [[6.2985, 0.0000, 0.0000], [0.0000, 6.2985, 0.0000], [0.0000, 0.0000, 6.2985]], "species": ["Sc", "Sc", "Sc", "Sc", "Sc", "Sc", "Sc", "Sc", "Ir", "Ir", "Ir", "Ir"], "fractional_positions": [[0.2500, 0.2500, 0.2500], [0.2500, 0.2500, 0.7500], [0.2500, 0.7500, 0.2500], [0.2500, 0.7500, 0.7500], [0.7500, 0.2500, 0.2500], [0.7500, 0.2500, 0.7500], [0.7500, 0.7500, 0.2500], [0.7500, 0.7500, 0.7500], [0.0000, 0.0000, 0.0000], [0.0000, 0.5000, 0.5000], [0.5000, 0.0000, 0.5000], [0.5000, 0.5000, 0.0000]], "formation_energy_ev_per_fu": -2.0, "total_energy_ev_per_atom": -8.35, "vol_a3_per_fu": 62.5, "magmom_total_mub_per_cell": 0.0}



{"formula": "K2ZrTl", "functional": "GGA-PBEsol", "state": "relaxed", "cell": [[3.6796, 0.0000, 0.0000], [0.0000, 5.1718, 0.0000], [0.0000, 0.0000, 6.2773]], "species": ["K", "K", "Zr", "Tl"], "fractional_positions": [[0.0000, 0.0000, 0.0000], [0.5000, 0.5000, 0.0000], [0.0000, 0.5000, 0.5000], [0.5000, 0.0000, 0.5000]], "polymorph_energy_ev_per_atom": 0.000, "formation_energy_ev_per_fu": 2.2, "total_energy_ev_per_atom": -2.95, "vol_a3_per_fu": 119.5, "magmom_total_mub_per_cell": 1.4}



{"formula": "SrCa2La", "functional": "GGA-PBEsol", "state": "relaxed", "cell": [[4.2161, 0.0000, 0.0000], [0.0000, 6.1609, 0.0000], [0.0000, 0.0000, 12.6015]], "species": ["Sr", "Sr", "Ca", "Ca", "Ca", "Ca", "La", "La"], "fractional_positions": [[0.0000, 0.0000, 0.0000], [0.5000, 0.5000, 0.0000], [0.0000, 0.0000, 0.5073], [0.0000, 0.5000, 0.2604], [0.5000, 0.0000, 0.2604], [0.5000, 0.5000, 0.5073], [0.0000, 0.5000, 0.7472], [0.5000, 0.0000, 0.7472]], "polymorph_energy_ev_per_atom": 0.027, "formation_energy_ev_per_fu": 0.4, "total_energy_ev_per_atom": -2.76, "vol_a3_per_fu": 163.7, "magmom_total_mub_per_cell": 0.0}



{"formula": "Mn2IrRu", "functional": "GGA-PBEsol", "state": "relaxed", "cell": [[3.9160, 0.0000, 0.0000], [0.0000, 2.6202, 0.0000], [0.0000, 0.0000, 9.4094]], "species": ["Mn", "Mn", "Mn", "Mn", "Ir", "Ir", "Ru", "Ru"], "fractional_positions": [[0.0000, 0.0000, 0.0000], [0.0000, 0.5000, 0.5000], [0.5000, 0.0000, 0.1200], [0.5000, 0.5000, 0.6200], [0.0000, 0.0000, 0.7310], [0.0000, 0.5000, 0.2310], [0.5000, 0.0000, 0.3911], [0.5000, 0.5000, 0.8911]], "formation_energy_ev_per_fu": -0.3, "total_energy_ev_per_atom": -9.95, "vol_a3_per_fu": 48.3, "magmom_total_mub_per_cell": 0.0}



{"formula": "BaMgCu", "functional": "GGA-PBEsol", "state": "relaxed", "cell": [[4.6798, 0.0000, 0.0000], [-2.3399, 4.0529, 0.0000], [0.0000, 0.0000, 4.5957]], "species": ["Ba", "Mg", "Cu"], "fractional_positions": [[0.0000, 0.0000, 0.0000], [0.6667, 0.3333, 0.5000], [0.3333, 0.6667, 0.5000]], "formation_energy_ev_per_fu": 0.2, "total_energy_ev_per_atom": -2.66, "vol_a3_per_fu": 87.2, "magmom_total_mub_per_cell": 0.0}



Question: Which formula does entry 12 have?
Answer: BaMgCu